#A
Material: AlRu2Pb
Method: DFT, PBE-GGA
State: relaxed

Cell: 4.4707 4.4707 3.2106 Å, 90.00 90.00 89.99°
Atoms (fractional coordinates):
Pb  0.0000  0.5000  0.5000
Ru  0.0000  0.0000  0.0000
Ru  0.5000  0.5000  0.0000
Al  0.5000  0.0000  0.5000

Space group   No. 123

#B
Material: AlRu2Pb
Method: DFT, PBE-GGA
State: relaxed

Cell: 9.0199 9.0199 9.0199 Å, 19.35 19.35 19.35°
Atoms (fractional coordinates):
Pb  0.7460  0.7460  0.7460
Ru  0.9912  0.9912  0.9912
Ru  0.2494  0.2494  0.2494
Al  0.5134  0.5134  0.5134

Space group   No. 160

Quick look at relative energies in meV/atom: #A 0; #B 315.

#A
Material: RePd
Method: DFT, PBE-GGA
State: relaxed

Cell: 6.9068 6.9068 6.9068 Å, 90.00 90.00 90.00°
Atoms (fractional coordinates):
Re  0.2500  0.0000  0.5000
Re  0.7500  0.0000  0.5000
Re  0.0000  0.5000  0.2500
Re  0.0000  0.5000  0.7500
Re  0.5000  0.2500  0.0000
Re  0.5000  0.7500  0.0000
Pd  0.2500  0.5000  0.0000
Pd  0.7500  0.5000  0.0000
Pd  0.5000  0.0000  0.2500
Pd  0.5000  0.0000  0.7500
Pd  0.0000  0.2500  0.5000
Pd  0.0000  0.7500  0.5000

Space group   No. 223

#B
Material: RePd
Method: DFT, PBE-GGA
State: relaxed

Cell: 9.6579 7.5895 7.2446 Å, 90.00 90.00 90.00°
Atoms (fractional coordinates):
Re  0.0000  0.0000  0.3406
Re  0.0000  0.0000  0.6594
Re  0.2500  0.7500  0.9094
Re  0.2500  0.7500  0.5906
Re  0.0000  0.5000  0.8406
Re  0.0000  0.5000  0.1594
Re  0.2500  0.2500  0.4094
Re  0.2500  0.2500  0.0906
Re  0.5000  0.0000  0.8406
Re  0.5000  0.0000  0.1594
Re  0.7500  0.7500  0.4094
Re  0.7500  0.7500  0.0906
Re  0.5000  0.5000  0.3406
Re  0.5000  0.5000  0.6594
Re  0.7500  0.2500  0.9094
Re  0.7500  0.2500  0.5906
Pd  0.0000  0.1684  0.0000
Pd  0.0000  0.8316  0.0000
Pd  0.2500  0.5816  0.2500
Pd  0.2500  0.9184  0.2500
Pd  0.0000  0.6684  0.5000
Pd  0.0000  0.3316  0.5000
Pd  0.2500  0.0816  0.7500
Pd  0.2500  0.4184  0.7500
Pd  0.5000  0.1684  0.5000
Pd  0.5000  0.8316  0.5000
Pd  0.7500  0.5816  0.7500
Pd  0.7500  0.9184  0.7500
Pd  0.5000  0.6684  0.0000
Pd  0.5000  0.3316  0.0000
Pd  0.7500  0.0816  0.2500
Pd  0.7500  0.4184  0.2500

Space group   No. 70

Quick look at relative energies in meV/atom: #A 1279; #B 0.

#A
Material: LiMnCo2
Method: DFT, PBE-GGA
State: relaxed

Cell: 2.5588 3.6473 5.1367 Å, 90.00 90.00 90.00°
Atoms (fractional coordinates):
Co  0.0000  0.0000  0.0163
Co  0.5000  0.5000  0.2298
Li  0.0000  0.0000  0.4943
Mn  0.5000  0.5000  0.7597

Space group   No. 25

#B
Material: LiMnCo2
Method: DFT, PBE-GGA
State: relaxed

Cell: 2.4827 3.3931 5.1012 Å, 90.00 90.00 90.00°
Atoms (fractional coordinates):
Co  0.0000  0.0000  0.9953
Co  0.0000  0.0000  0.5047
Li  0.5000  0.5000  0.2500
Mn  0.5000  0.5000  0.7500

Space group   No. 47

Quick look at relative energies in meV/atom: #A 0; #B 22.

#A
Material: Ta2TcBr
Method: DFT, PBE-GGA
State: relaxed

Cell: 3.9926 3.9926 9.8651 Å, 78.33 78.33 90.00°
Atoms (fractional coordinates):
Tc  0.0000  0.0000  0.0000
Tc  0.7500  0.2500  0.5000
Br  0.5000  0.5000  0.0000
Br  0.2500  0.7500  0.5000
Ta  0.6307  0.1250  0.2500
Ta  0.1193  0.6250  0.2500
Ta  0.3750  0.3693  0.7500
Ta  0.8750  0.8807  0.7500

Space group   No. 122

#B
Material: Ta2TcBr
Method: DFT, PBE-GGA
State: relaxed

Cell: 5.4577 5.4577 5.4577 Å, 138.94 138.94 59.46°
Atoms (fractional coordinates):
Tc  0.5000  0.5000  0.0000
Br  0.7500  0.2500  0.5000
Ta  0.0000  0.0000  0.0000
Ta  0.2500  0.7500  0.5000

Space group   No. 119

Quick look at relative energies in meV/atom: #A 280; #B 0.

#A
Material: K2ZrCl
Method: DFT, PBE-GGA
State: relaxed

Cell: 7.3486 7.3486 7.3486 Å, 152.21 126.82 61.06°
Atoms (fractional coordinates):
K  0.0540  0.0540  0.0000
K  0.7359  0.2359  0.5000
Zr  0.4342  0.4342  0.0000
Cl  0.2760  0.7760  0.5000

Space group   No. 44

#B
Material: K2ZrCl
Method: DFT, PBE-GGA
State: relaxed

Cell: 3.5718 3.5718 11.4917 Å, 81.23 81.23 59.89°
Atoms (fractional coordinates):
K  0.0199  0.0199  0.9430
K  0.4801  0.4801  0.5570
Zr  0.2500  0.2500  0.2500
Cl  0.7500  0.7500  0.7500

Space group   No. 12

Quick look at relative energies in meV/atom: #A 208; #B 0.

#A
Material: MgCoIr
Method: DFT, PBE-GGA
State: relaxed

Cell: 5.9887 5.9887 5.9887 Å, 153.55 153.55 37.75°
Atoms (fractional coordinates):
Co  0.9879  0.9879  0.0000
Ir  0.3481  0.3481  0.0000
Mg  0.6640  0.6640  0.0000

Space group   No. 107

#B
Material: MgCoIr
Method: DFT, PBE-GGA
State: relaxed

Cell: 6.8960 6.6685 2.7093 Å, 83.24 73.80 22.96°
Atoms (fractional coordinates):
Co  0.9969  0.9969  0.0031
Ir  0.3379  0.3379  0.6621
Mg  0.6652  0.6652  0.3348

Space group   No. 42

Quick look at relative energies in meV/atom: #A 0; #B 194.